Entry 1:
SmDyHgBi: relaxed, PBE.

Cell and atoms, written as extended XYZ:
```
16
Lattice="7.659 0.000 0.000 0.000 7.659 0.000 0.000 0.000 7.659" Properties=species:S:1:pos:R:3 pbc="T T T"
Sm 0.000 0.000 0.000
Sm 0.000 3.829 3.829
Sm 3.829 0.000 3.829
Sm 3.829 3.829 0.000
Dy 0.000 0.000 3.829
Dy 0.000 3.829 0.000
Dy 3.829 0.000 0.000
Dy 3.829 3.829 3.829
Hg 1.915 1.915 5.744
Hg 1.915 5.744 1.915
Hg 5.744 1.915 1.915
Hg 5.744 5.744 5.744
Bi 1.915 1.915 1.915
Bi 1.915 5.744 5.744
Bi 5.744 1.915 5.744
Bi 5.744 5.744 1.915
```

Entry 2:
TbDyHgBi: relaxed, PBE.

Cell and atoms, written as extended XYZ:
```
16
Lattice="7.612 0.000 0.000 0.000 7.612 0.000 0.000 0.000 7.612" Properties=species:S:1:pos:R:3 pbc="T T T"
Tb 0.000 0.000 0.000
Tb 0.000 3.806 3.806
Tb 3.806 0.000 3.806
Tb 3.806 3.806 0.000
Dy 0.000 0.000 3.806
Dy 0.000 3.806 0.000
Dy 3.806 0.000 0.000
Dy 3.806 3.806 3.806
Hg 1.903 1.903 1.903
Hg 1.903 5.709 5.709
Hg 5.709 1.903 5.709
Hg 5.709 5.709 1.903
Bi 1.903 1.903 5.709
Bi 1.903 5.709 1.903
Bi 5.709 1.903 1.903
Bi 5.709 5.709 5.709
```

Entry 3:
DyTlHgBi: relaxed, PBE.

Cell and atoms, written as extended XYZ:
```
16
Lattice="7.728 0.000 0.000 0.000 7.728 0.000 0.000 0.000 7.728" Properties=species:S:1:pos:R:3 pbc="T T T"
Dy 0.000 0.000 0.000
Dy 0.000 3.864 3.864
Dy 3.864 0.000 3.864
Dy 3.864 3.864 0.000
Tl 0.000 0.000 3.864
Tl 0.000 3.864 0.000
Tl 3.864 0.000 0.000
Tl 3.864 3.864 3.864
Hg 1.932 1.932 1.932
Hg 1.932 5.796 5.796
Hg 5.796 1.932 5.796
Hg 5.796 5.796 1.932
Bi 1.932 1.932 5.796
Bi 1.932 5.796 1.932
Bi 5.796 1.932 1.932
Bi 5.796 5.796 5.796
```

Entry 4:
DyYHgBi: relaxed, PBE.

Cell and atoms, written as extended XYZ:
```
16
Lattice="7.609 0.000 0.000 0.000 7.609 0.000 0.000 0.000 7.609" Properties=species:S:1:pos:R:3 pbc="T T T"
Dy 0.000 0.000 0.000
Dy 0.000 3.805 3.805
Dy 3.805 0.000 3.805
Dy 3.805 3.805 0.000
Y 0.000 0.000 3.805
Y 0.000 3.805 0.000
Y 3.805 0.000 0.000
Y 3.805 3.805 3.805
Hg 1.902 1.902 1.902
Hg 1.902 5.707 5.707
Hg 5.707 1.902 5.707
Hg 5.707 5.707 1.902
Bi 1.902 1.902 5.707
Bi 1.902 5.707 1.902
Bi 5.707 1.902 1.902
Bi 5.707 5.707 5.707
```

Entry 5:
Dy4HoBi2: relaxed, PBE.

Cell and atoms, written as extended XYZ:
```
14
Lattice="5.315 0.000 0.000 0.000 5.315 0.000 0.000 0.000 16.716" Properties=species:S:1:pos:R:3 pbc="T T T"
Dy 0.000 0.000 3.025
Dy 0.000 0.000 13.691
Dy 0.000 2.658 0.000
Dy 0.000 2.658 8.358
Dy 2.658 0.000 0.000
Dy 2.658 0.000 8.358
Dy 2.658 2.658 5.333
Dy 2.658 2.658 11.383
Ho 0.000 0.000 0.000
Ho 2.658 2.658 8.358
Bi 0.000 0.000 6.104
Bi 0.000 0.000 10.612
Bi 2.658 2.658 2.254
Bi 2.658 2.658 14.462
```

Entry 6:
DyHoBi: relaxed, PBE.

Cell and atoms, written as extended XYZ:
```
12
Lattice="3.984 0.000 0.000 0.000 10.904 0.000 0.000 0.000 8.500" Properties=species:S:1:pos:R:3 pbc="T T T"
Dy 0.000 0.594 0.000
Dy 0.000 4.094 5.311
Dy 0.000 6.810 1.061
Dy 0.000 10.310 4.250
Ho 1.992 1.627 2.719
Ho 1.992 3.452 8.385
Ho 1.992 7.452 4.135
Ho 1.992 9.278 6.969
Bi 1.992 1.521 5.923
Bi 1.992 4.738 2.729
Bi 1.992 6.166 6.979
Bi 1.992 9.383 1.673
```

Entry 7:
DyHoBi: relaxed, PBE.

Cell and atoms, written as extended XYZ:
```
12
Lattice="16.406 0.000 0.000 0.000 4.824 0.000 0.000 0.000 4.399" Properties=species:S:1:pos:R:3 pbc="T T T"
Dy 4.077 1.206 0.218
Dy 4.126 3.618 2.417
Dy 12.280 1.206 1.982
Dy 12.329 3.618 4.181
Ho 1.288 1.206 2.392
Ho 6.915 3.618 0.193
Ho 9.491 1.206 4.206
Ho 15.118 3.618 2.007
Bi 1.606 3.618 0.186
Bi 6.597 1.206 2.385
Bi 9.809 3.618 2.013
Bi 14.800 1.206 4.213
```

Entry 8:
Dy2HoBi4: relaxed, PBE.

Cell and atoms, written as extended XYZ:
```
14
Lattice="2.243 -5.638 0.000 2.243 5.638 0.000 0.000 0.000 17.104" Properties=species:S:1:pos:R:3 pbc="T T T"
Dy 2.243 3.815 9.824
Dy 2.243 3.815 15.831
Dy 2.243 -3.815 1.273
Dy 2.243 -3.815 7.279
Ho 2.243 0.618 12.828
Ho 2.243 -0.618 4.276
Bi 2.243 3.991 2.099
Bi 2.243 3.991 6.453
Bi 2.243 3.908 12.828
Bi 2.243 0.000 0.000
Bi 2.243 0.000 8.552
Bi 2.243 -3.908 4.276
Bi 2.243 -3.991 10.651
Bi 2.243 -3.991 15.005
```

Number 1: energy of formation from the pure elements -0.52 eV per atom, magnetic moment 0.0 μB/cell. Number 2: energy of formation from the pure elements -0.50 eV per atom, magnetic moment 0.0 μB/cell. Number 3: energy of formation from the pure elements -0.24 eV per atom, magnetic moment 0.0 μB/cell. Number 4: energy of formation from the pure elements -0.51 eV per atom, magnetic moment 0.0 μB/cell. Number 5: energy of formation from the pure elements 0.30 eV per atom, magnetic moment 0.0 μB/cell. Number 6: energy of formation from the pure elements -0.42 eV per atom, magnetic moment 0.0 μB/cell. Number 7: energy of formation from the pure elements -0.50 eV per atom, magnetic moment 0.0 μB/cell. Number 8: energy of formation from the pure elements -0.58 eV per atom, magnetic moment 0.0 μB/cell.